# PuNbSn2, optimized geometry, DFT GGA-PBE
data_PuNbSn2
_symmetry_space_group_name_H-M 'R -3 m'
_symmetry_Int_Tables_number 166
_symmetry_space_group_name_Hall '-R 3 2"'
_cell_length_a 3.1822
_cell_length_b 3.1822
_cell_length_c 33.5180
_cell_angle_alpha 90.00
_cell_angle_beta 90.00
_cell_angle_gamma 120.00
loop_
_atom_site_label
_atom_site_type_symbol
_atom_site_fract_x
_atom_site_fract_y
_atom_site_fract_z
Pu1 Pu 0.0000 0.0000 0.0000
Nb1 Nb 0.0000 0.0000 0.5000
Sn1 Sn 0.0000 0.0000 0.0957
# ρ ... 9.7 g/cm3
# Fermi-level density of states ... 23.9 states/eV per cell
# M_tot ... 17.4 μB/cell
# Formation enthalpy at 0 K ... 145 meV/atom